(one)
3
Lattice="0.000 3.069 3.069 3.069 0.000 3.069 3.069 3.069 0.000" Properties=species:S:1:pos:R:3 comment="PBE YHgB, optimized geometry" mass_density_g_cm3=8.63 volume_a3_per_cell=58 magnetic_moment_mub_per_atom=0.000 spacegroup="No. 216" pbc="T T T"
Hg 4.603 4.603 4.603
Y 1.534 1.534 1.534
B 0.000 0.000 0.000

(two)
6
Lattice="-0.130 -1.470 4.064 4.236 -0.849 -0.172 1.250 5.803 2.138" Properties=species:S:1:pos:R:3 comment="PBE YHgB, optimized geometry" mass_density_g_cm3=8.46 volume_a3_per_cell=118 magnetic_moment_mub_per_atom=0.000 spacegroup="No. 129" pbc="T T T"
B 0.625 2.901 1.069
Y 2.410 0.929 0.413
B 2.678 1.742 3.015
Y 0.893 3.714 3.672
Hg 0.271 0.822 2.606
Hg 3.032 3.821 1.479

The least stable of them is (two).

(one)
5
Lattice="-3.857 3.176 3.189 -2.378 -5.004 2.108 3.822 0.092 4.530" Properties=species:S:1:pos:R:3 comment="PBE YHg3B, optimized geometry" mass_density_g_cm3=5.59 volume_a3_per_cell=208 magnetic_moment_mub_per_atom=0.380 spacegroup="No. 221" pbc="T T T"
Hg 1.911 0.046 2.265
Y 0.000 0.000 0.000
Hg -1.928 1.588 1.595
B -1.206 -0.868 4.914
Hg -1.189 -2.502 1.054

(two)
5
Lattice="4.743 0.000 0.000 0.000 4.743 0.000 0.000 0.000 4.743" Properties=species:S:1:pos:R:3 comment="PBE YHg3B, optimized geometry" mass_density_g_cm3=10.91 volume_a3_per_cell=107 magnetic_moment_mub_per_atom=0.000 spacegroup="No. 221" pbc="T T T"
Hg 0.000 2.372 0.000
B 0.000 0.000 0.000
Hg 0.000 0.000 2.372
Y 2.372 2.372 2.372
Hg 2.372 0.000 0.000

The least stable of them is (one).

(one)
5
Lattice="-0.330 -4.049 1.652 -0.723 -1.583 -4.025 4.313 -0.576 -0.548" Properties=species:S:1:pos:R:3 comment="PBE YHgB3, optimized geometry" mass_density_g_cm3=6.34 volume_a3_per_cell=84 magnetic_moment_mub_per_atom=0.000 spacegroup="No. 221" pbc="T T T"
B -0.361 -0.792 -2.013
B 2.156 -0.288 -0.274
B -0.165 -2.024 0.826
Y 1.630 -3.104 -1.461
Hg 0.000 0.000 0.000

(two)
5
Lattice="-3.266 -0.738 3.373 3.162 -2.502 2.515 1.385 3.973 2.210" Properties=species:S:1:pos:R:3 comment="PBE YHgB3, optimized geometry" mass_density_g_cm3=4.98 volume_a3_per_cell=107 magnetic_moment_mub_per_atom=0.000 spacegroup="No. 221" pbc="T T T"
B 0.692 1.986 1.105
B -1.633 -0.369 1.686
Y 0.000 0.000 0.000
Hg 0.641 0.367 4.049
B 1.581 -1.251 1.258

The least stable of them is (two).

(one)
4
Lattice="-2.167 -3.906 0.380 -2.055 -1.059 3.841 -4.478 -0.069 0.201" Properties=species:S:1:pos:R:3 comment="PBE Zn2HgB, optimized geometry" mass_density_g_cm3=8.92 volume_a3_per_cell=64 magnetic_moment_mub_per_atom=0.000 spacegroup="No. 225" pbc="T T T"
B 0.000 0.000 0.000
Zn -6.525 -3.776 3.317
Zn -2.175 -1.259 1.106
Hg -4.350 -2.517 2.211

(two)
8
Lattice="-4.249 -2.447 0.918 2.332 -4.341 -0.779 0.546 -3.693 6.239" Properties=species:S:1:pos:R:3 comment="PBE Zn2HgB, optimized geometry" mass_density_g_cm3=7.18 volume_a3_per_cell=158 magnetic_moment_mub_per_atom=0.000 spacegroup="No. 122" pbc="T T T"
Zn 0.404 -4.322 1.330
B -0.959 -3.394 0.070
Hg 0.000 0.000 0.000
Hg -2.331 -4.767 3.613
B 0.960 -5.714 2.765
Zn 0.053 -5.988 4.610
Zn -1.568 -2.615 1.894
Zn -1.630 -8.035 4.922

The least stable of them is (one).